CdGa2Pb2 (SCAN, single point on PBEsol structure); DOS at the Fermi energy = 1.9 states/eV/cell; VASP energy = -214.1 eV per formula unit; space group = I4/mmm; energy of formation from the pure elements = 10.6 kJ per mole of atoms; M_tot = 0.00 μB/f.u.
1.0
3.7716 0.0000 0.0000
0.0000 3.7716 0.0000
-1.8858 -1.8858 8.5826
Cd Ga Pb
1 2 2
direct
0.0000 0.0000 0.0000
0.7500 0.2500 0.5000
0.2500 0.7500 0.5000
0.3921 0.3921 0.7841
0.6079 0.6079 0.2159

Cd2Ga2Pb (SCAN, single point on PBEsol structure); DOS at the Fermi energy = 2.0 states/eV/cell; VASP energy = -168.8 eV per formula unit; space group = I4/mmm; energy of formation from the pure elements = 9.6 kJ per mole of atoms; M_tot = 0.00 μB/f.u.
1.0
4.1192 0.0000 0.0000
0.0000 4.1192 0.0000
-2.0596 -2.0596 6.5809
Ga Cd Pb
2 2 1
direct
0.2500 0.7500 0.5000
0.7500 0.2500 0.5000
0.6064 0.6064 0.2127
0.3936 0.3936 0.7873
0.0000 0.0000 0.0000

Cd2GaPd2 (SCAN, single point on PBEsol structure); DOS at the Fermi energy = 2.9 states/eV/cell; VASP energy = -144.8 eV per formula unit; space group = P4/mbm; energy of formation from the pure elements = -40.2 kJ per mole of atoms; M_tot = 0.00 μB/f.u.
1.0
-0.3688 3.9831 1.0963
-0.1236 -1.7282 6.2373
6.4466 0.5219 0.2723
Ga Cd Pd
2 4 4
direct
0.0000 0.0000 0.0000
0.0000 0.5000 0.5000
0.5000 0.8433 0.3433
0.5000 0.1567 0.6567
0.5000 0.3433 0.1567
0.5000 0.6567 0.8433
0.0000 0.8495 0.6505
0.0000 0.3495 0.8495
0.0000 0.6505 0.1505
0.0000 0.1505 0.3495